(1)
4
Lattice="4.406 0.000 0.000 0.000 4.406 0.000 0.000 0.000 3.124" Properties=species:S:1:pos:R:3 comment="Re2SeBr, optimized geometry, DFT GGA-PBEsol" e_form_raw_ev_per_fu=4.45 e_above_lowest_polymorph_mev_per_atom=560 pbc="T T T"
Re 0.000 2.203 0.000
Re 2.203 0.000 0.000
Se 0.000 0.000 1.562
Br 2.203 2.203 1.562

=====

(2)
4
Lattice="1.965 -2.056 0.000 1.965 2.056 0.000 0.000 0.000 8.066" Properties=species:S:1:pos:R:3 comment="ZrAlSi2, optimized geometry, DFT GGA-PBEsol" e_form_raw_ev_per_fu=-0.22 pbc="T T T"
Zr 0.000 0.000 0.000
Al 1.965 0.000 2.247
Si 0.000 0.000 4.179
Si 1.965 0.000 6.039

=====

(3)
5
Lattice="-1.944 1.944 6.719 1.944 -1.944 6.719 1.944 1.944 -6.719" Properties=species:S:1:pos:R:3 comment="Sm2SbO2, optimized geometry, DFT GGA-PBEsol" e_form_raw_ev_per_fu=-13.44 pbc="T T T"
Sm 0.000 0.000 2.195
Sm 0.000 0.000 11.242
Sb 0.000 0.000 6.719
O 1.944 0.000 3.359
O 0.000 1.944 3.359

=====

(4)
4
Lattice="2.648 -3.759 0.000 2.648 3.759 0.000 0.000 0.000 2.672" Properties=species:S:1:pos:R:3 comment="NiPtRh2, optimized geometry, DFT GGA-PBEsol" e_form_ev_per_atom=0.031 pbc="T T T"
Ni 0.000 0.000 0.000
Pt 2.648 0.000 0.000
Rh 1.324 1.879 1.336
Rh 1.324 -1.879 1.336

=====

(5)
3
Lattice="0.000 3.242 3.242 3.242 0.000 3.242 3.242 3.242 0.000" Properties=species:S:1:pos:R:3 comment="ZrTlPt, optimized geometry, DFT GGA-PBEsol" e_form_ev_per_atom=-0.047 pbc="T T T"
Zr 0.000 0.000 0.000
Tl 4.864 4.864 4.864
Pt 1.621 1.621 1.621

=====

(6)
5
Lattice="5.767 0.000 0.000 0.000 5.767 0.000 0.000 0.000 4.873" Properties=species:S:1:pos:R:3 comment="K2NaNbNi, optimized geometry, DFT GGA-PBEsol" e_form_ev_per_atom=1.699 pbc="T T T"
K 0.000 2.883 0.000
K 2.883 0.000 0.000
Na 0.000 0.000 0.000
Nb 2.883 2.883 2.436
Ni 0.000 0.000 2.436

=====

(7)
5
Lattice="-2.059 2.059 5.318 2.059 -2.059 5.318 2.059 2.059 -5.318" Properties=species:S:1:pos:R:3 comment="SmGa2Pd2, optimized geometry, DFT GGA-PBEsol" e_form_ev_per_atom=-0.802 pbc="T T T"
Sm 0.000 0.000 0.000
Ga 0.000 0.000 4.064
Ga 0.000 0.000 6.573
Pd 2.059 0.000 2.659
Pd 0.000 2.059 2.659

=====

(8)
5
Lattice="-1.750 1.750 8.566 1.750 -1.750 8.566 1.750 1.750 -8.566" Properties=species:S:1:pos:R:3 comment="CdNi2Bi2, optimized geometry, DFT GGA-PBEsol" e_form_ev_per_atom=0.128 pbc="T T T"
Cd 0.000 0.000 0.000
Ni 1.750 0.000 4.283
Ni 0.000 1.750 4.283
Bi 0.000 0.000 6.275
Bi 0.000 0.000 10.856

=====

(9)
5
Lattice="5.283 0.000 0.000 0.000 5.283 0.000 0.000 0.000 4.923" Properties=species:S:1:pos:R:3 comment="LaYTiCd2, optimized geometry, DFT GGA-PBEsol" e_form_ev_per_atom=0.348 pbc="T T T"
La 0.000 0.000 0.000
Y 2.641 2.641 0.000
Ti 2.641 2.641 2.461
Cd 0.000 2.641 2.461
Cd 2.641 0.000 2.461

=====

(10)
4
Lattice="2.892 0.000 0.000 0.000 4.302 0.000 0.000 0.000 5.765" Properties=species:S:1:pos:R:3 comment="ScReHg2, optimized geometry, DFT GGA-PBEsol" e_form_ev_per_atom=0.180 e_above_lowest_polymorph_mev_per_atom=0 pbc="T T T"
Sc 0.000 0.000 0.000
Re 0.000 0.000 2.883
Hg 1.446 2.151 1.475
Hg 1.446 2.151 4.290

=====

(11)
4
Lattice="2.812 0.000 0.000 0.000 2.812 0.000 0.000 0.000 7.460" Properties=species:S:1:pos:R:3 comment="OsRu2Br, optimized geometry, DFT GGA-PBEsol" e_form_raw_ev_per_fu=3.20 e_above_lowest_polymorph_mev_per_atom=0 pbc="T T T"
Os 0.000 0.000 0.000
Ru 0.000 0.000 3.534
Ru 1.406 1.406 1.703
Br 1.406 1.406 5.363

=====

(12)
6
Lattice="0.000 4.571 4.571 4.571 0.000 4.571 4.571 4.571 0.000" Properties=species:S:1:pos:R:3 comment="Ca4MgP, optimized geometry, DFT GGA-PBEsol" e_form_ev_per_atom=0.404 pbc="T T T"
Ca 3.436 3.436 3.436
Ca 5.706 5.706 3.436
Ca 5.706 3.436 5.706
Ca 3.436 5.706 5.706
Mg 0.000 0.000 0.000
P 6.857 6.857 6.857

=====

Number 1: Fermi-level density of states 0.9082 states/eV per atom, total energy -6.983 eV per atom. Number 2: Fermi-level density of states 0.6011 states/eV per atom, total energy -6.223 eV per atom. Number 3: Fermi-level density of states 0.1655 states/eV per atom, total energy -7.737 eV per atom. Number 4: Fermi-level density of states 1.6758 states/eV per atom, total energy -7.319 eV per atom. Number 5: Fermi-level density of states 0.7600 states/eV per atom, total energy -6.275 eV per atom. Number 6: Fermi-level density of states 1.4760 states/eV per atom, total energy -2.431 eV per atom. Number 7: Fermi-level density of states 0.7199 states/eV per atom, total energy -5.540 eV per atom. Number 8: Fermi-level density of states 0.6649 states/eV per atom, total energy -4.288 eV per atom. Number 9: Fermi-level density of states 1.4671 states/eV per atom, total energy -4.229 eV per atom. Number 10: Fermi-level density of states 0.4821 states/eV per atom, total energy -5.088 eV per atom. Number 11: Fermi-level density of states 1.0577 states/eV per atom, total energy -7.808 eV per atom. Number 12: Fermi-level density of states 1.1613 states/eV per atom, total energy -2.270 eV per atom.